## Cs2CdInHg6 (PBE)

Data for an optimized crystal structure of Cs2CdInHg6.

Output
DOS(E_F) = 5.3 states/eV/cell
formation energy from the elements = -0.13 eV/atom
size of the total moment = 0.00 Bohr magnetons per cell

Cell: 8.194 8.194 8.132 Å, 60.37 60.37 89.90°
Atoms (fractional coordinates):
1 Cs 0.750 0.250 0.500
2 Cs 0.250 0.750 0.500
3 Cd 0.500 0.500 0.000
4 In 0.000 0.000 0.000
5 Hg 0.254 0.254 0.496
6 Hg 0.748 0.748 0.999
7 Hg 0.252 0.748 0.000
8 Hg 0.748 0.252 0.000
9 Hg 0.252 0.252 0.001
10 Hg 0.746 0.746 0.504